# 1
Here is Zn2CdW after structural relaxation from Alexandria. Energies are from GGA-PBEsol.

The space group is Cm (No. 8) and the conventional cell measures 10.2520, 2.7341 and 4.9337 Å, with angles of 90.00, 115.63 and 90.00 degrees. Symmetry generates all atoms from Zn at (0.0000, 0.0000, 0.0000), Zn at (0.2441, 0.5000, 0.4214), Cd at (0.2472, 0.0000, 0.9177) and W at (0.4914, 0.0000, 0.4855).

The density of states at the Fermi level comes out at 0.372 states/eV/atom. The crystal system is monoclinic. The total magnetization is 0.00 μB/cell. Its total DFT energy (no corrections) is -4.240 eV per atom.

---

# 2
Here is ZnCd2W after structural relaxation from Alexandria. Energies are from GGA-PBEsol.

The space group is P4/mmm (No. 123) and the conventional cell measures 4.7731, 4.7731 and 3.0298 Å, with angles of 90.00, 90.00 and 90.00 degrees. Symmetry generates all atoms from Zn at (0.0000, 0.0000, 0.0000), Cd at (0.0000, 0.5000, 0.5000) and W at (0.5000, 0.5000, 0.0000).

The density of states at the Fermi level comes out at 0.503 states/eV/atom. The crystal system is tetragonal. The total magnetization is 0.00 μB/cell. Its total DFT energy (no corrections) is -3.830 eV per atom.

---

# 3
Here is ZrCd2W after structural relaxation from Alexandria. Energies are from GGA-PBEsol.

The space group is P4/mmm (No. 123) and the conventional cell measures 3.6193, 3.6193 and 5.7401 Å, with angles of 90.00, 90.00 and 90.00 degrees. Symmetry generates all atoms from Zr at (0.0000, 0.0000, 0.0000), Cd at (0.5000, 0.5000, 0.2608) and W at (0.0000, 0.0000, 0.5000).

The density of states at the Fermi level comes out at 0.835 states/eV/atom. The crystal system is tetragonal. The total magnetization is 0.00 μB/cell. As for the energy above the most stable polymorph in this dataset: 0 meV/atom. Its total DFT energy (no corrections) is -5.850 eV per atom.